A plane-wave DFT calculation with PBE-GGA was carried out for a relaxed Be3OsCl crystal.

Values from the calculation:
The magnetization is 0.0 μB per cell. Its uncorrected formation energy is 1.19 eV per atom. The calculation puts the polymorph energy (0 for the lowest one) at 24.6 kJ/mol of atoms. The calculation puts the density of states at the Fermi level at 2.78 states/eV/f.u.

The structure in CIF format:
```
data_Be3OsCl
_space_group_name_H-M_alt 'P m -3 m'
_space_group_IT_number 221
_space_group_name_Hall '-P 4 2 3'
_cell_length_a 3.958
_cell_length_b 3.958
_cell_length_c 3.958
_cell_angle_alpha 90.00
_cell_angle_beta 90.00
_cell_angle_gamma 90.00
loop_
_atom_site_label
_atom_site_type_symbol
_atom_site_fract_x
_atom_site_fract_y
_atom_site_fract_z
Be1 Be 0.000 0.000 0.500
Os1 Os 0.500 0.500 0.500
Cl1 Cl 0.000 0.000 0.000
```



A plane-wave DFT calculation with PBE-GGA was carried out for a relaxed BeOsCl2 crystal.

Values from the calculation:
The magnetization is 0.0 μB per cell. Its uncorrected formation energy is 0.82 eV per atom. The calculation puts the polymorph energy (0 for the lowest one) at 84.3 kJ/mol of atoms. The calculation puts the density of states at the Fermi level at 2.14 states/eV/f.u.

The structure in CIF format:
```
data_BeOsCl2
_space_group_name_H-M_alt 'I -4 2 d'
_space_group_IT_number 122
_space_group_name_Hall 'I -4 2bw'
_cell_length_a 5.218
_cell_length_b 5.218
_cell_length_c 9.578
_cell_angle_alpha 90.00
_cell_angle_beta 90.00
_cell_angle_gamma 90.00
loop_
_atom_site_label
_atom_site_type_symbol
_atom_site_fract_x
_atom_site_fract_y
_atom_site_fract_z
Be1 Be 0.000 0.000 0.000
Os1 Os 0.000 0.000 0.500
Cl1 Cl 0.196 0.250 0.125
```



A plane-wave DFT calculation with PBE-GGA was carried out for a relaxed BeOsCl2 crystal.

Values from the calculation:
The magnetization is 0.0 μB per cell. Its uncorrected formation energy is 1.21 eV per atom. The calculation puts the polymorph energy (0 for the lowest one) at 122.4 kJ/mol of atoms. The calculation puts the density of states at the Fermi level at 3.48 states/eV/f.u.

The structure in CIF format:
```
data_BeOsCl2
_space_group_name_H-M_alt 'F m -3 m'
_space_group_IT_number 225
_space_group_name_Hall '-F 4 2 3'
_cell_length_a 6.121
_cell_length_b 6.121
_cell_length_c 6.121
_cell_angle_alpha 90.00
_cell_angle_beta 90.00
_cell_angle_gamma 90.00
loop_
_atom_site_label
_atom_site_type_symbol
_atom_site_fract_x
_atom_site_fract_y
_atom_site_fract_z
Be1 Be 0.000 0.000 0.000
Os1 Os 0.000 0.000 0.500
Cl1 Cl 0.250 0.250 0.250
```



A plane-wave DFT calculation with PBE-GGA was carried out for a relaxed Be2OsCl crystal.

Values from the calculation:
The magnetization is 0.0 μB per cell. Its uncorrected formation energy is 0.11 eV per atom. The calculation puts the polymorph energy (0 for the lowest one) at 8.2 kJ/mol of atoms. The calculation puts the density of states at the Fermi level at 2.08 states/eV/f.u.

The structure in CIF format:
```
data_Be2OsCl
_space_group_name_H-M_alt 'P 4/m m m'
_space_group_IT_number 123
_space_group_name_Hall '-P 4 2'
_cell_length_a 3.003
_cell_length_b 3.003
_cell_length_c 5.758
_cell_angle_alpha 90.00
_cell_angle_beta 90.00
_cell_angle_gamma 90.00
loop_
_atom_site_label
_atom_site_type_symbol
_atom_site_fract_x
_atom_site_fract_y
_atom_site_fract_z
Be1 Be 0.000 0.000 0.182
Os1 Os 0.500 0.500 0.000
Cl1 Cl 0.500 0.500 0.500
```



A plane-wave DFT calculation with PBE-GGA was carried out for a relaxed BeOsCl crystal.

Values from the calculation:
The magnetization is 0.0 μB per cell. Its uncorrected formation energy is 1.41 eV per atom. The calculation puts the polymorph energy (0 for the lowest one) at 115.5 kJ/mol of atoms. The calculation puts the density of states at the Fermi level at 2.52 states/eV/f.u.

The structure in CIF format:
```
data_BeOsCl
_space_group_name_H-M_alt 'F -4 3 m'
_space_group_IT_number 216
_space_group_name_Hall 'F -4 2 3'
_cell_length_a 5.586
_cell_length_b 5.586
_cell_length_c 5.586
_cell_angle_alpha 90.00
_cell_angle_beta 90.00
_cell_angle_gamma 90.00
loop_
_atom_site_label
_atom_site_type_symbol
_atom_site_fract_x
_atom_site_fract_y
_atom_site_fract_z
Be1 Be 0.000 0.000 0.000
Os1 Os 0.250 0.250 0.750
Cl1 Cl 0.250 0.250 0.250
```



A plane-wave DFT calculation with PBE-GGA was carried out for a relaxed BeOsCl crystal.

Values from the calculation:
The magnetization is 1.0 μB per cell. Its uncorrected formation energy is 0.59 eV per atom. The calculation puts the polymorph energy (0 for the lowest one) at 36.2 kJ/mol of atoms. The calculation puts the density of states at the Fermi level at 2.73 states/eV/f.u.

The structure in CIF format:
```
data_BeOsCl
_space_group_name_H-M_alt 'I 4 m m'
_space_group_IT_number 107
_space_group_name_Hall 'I 4 -2'
_cell_length_a 2.876
_cell_length_b 2.876
_cell_length_c 12.183
_cell_angle_alpha 90.00
_cell_angle_beta 90.00
_cell_angle_gamma 90.00
loop_
_atom_site_label
_atom_site_type_symbol
_atom_site_fract_x
_atom_site_fract_y
_atom_site_fract_z
Be1 Be 0.000 0.000 0.000
Os1 Os 0.000 0.000 0.593
Cl1 Cl 0.000 0.000 0.239
```



Going through the records in order, we get theoretical density values of 6.8 6.9 7.8 7.8 8.9 7.7 g/cm³.